--- 1 ---
Material: Mg2NiHPd
Method: DFT, PBE
State: optimized geometry Values from VASP.

Properties
magnetization: 0.0 Bohr magnetons per cell
symmetry: P4/mmm

The structure in Quantum ESPRESSO input format:
```
&SYSTEM
  ibrav = 0, nat = 5, ntyp = 4
/
ATOMIC_SPECIES
Mg 24.30 Mg.upf
Ni 58.69 Ni.upf
Pd 106.42 Pd.upf
H 1.01 H.upf
CELL_PARAMETERS angstrom
-3.101 -1.311 -2.884
-0.822 -3.564 2.505
-2.236 1.671 1.644
ATOMIC_POSITIONS crystal
Mg 0.500 0.000 0.000
Ni 0.000 0.000 0.500
Pd 0.500 0.500 0.500
Mg 0.000 0.500 0.000
H 0.000 0.000 0.000
```

***

--- 2 ---
Material: Mg2NiHPd
Method: DFT, PBE
State: optimized geometry Values from VASP.

Properties
magnetization: 0.0 Bohr magnetons per cell
symmetry: P4/mmm

The structure in Quantum ESPRESSO input format:
```
&SYSTEM
  ibrav = 0, nat = 5, ntyp = 4
/
ATOMIC_SPECIES
Mg 24.30 Mg.upf
H 1.01 H.upf
Pd 106.42 Pd.upf
Ni 58.69 Ni.upf
CELL_PARAMETERS angstrom
-1.956 3.900 0.337
-3.107 -1.775 2.520
1.869 0.696 2.794
ATOMIC_POSITIONS crystal
Mg 0.500 0.000 0.000
H 0.000 0.000 0.000
Pd 0.000 0.000 0.500
Mg 0.000 0.500 0.000
Ni 0.500 0.500 0.500
```

***

Preferred: 1; penalty for the next structure: 0.141 eV/atom.

***

--- 1 ---
Material: MgNi2HPd
Method: DFT, PBE
State: optimized geometry Values from VASP.

Properties
magnetization: 0.6 Bohr magnetons per cell
symmetry: P4/mmm

The structure in Quantum ESPRESSO input format:
```
&SYSTEM
  ibrav = 0, nat = 5, ntyp = 4
/
ATOMIC_SPECIES
Ni 58.69 Ni.upf
H 1.01 H.upf
Mg 24.30 Mg.upf
Pd 106.42 Pd.upf
CELL_PARAMETERS angstrom
3.659 0.000 0.000
0.000 3.659 0.000
0.000 0.000 4.122
ATOMIC_POSITIONS crystal
Ni 0.000 0.500 0.000
H 0.000 0.000 0.000
Mg 0.000 0.000 0.500
Pd 0.500 0.500 0.500
Ni 0.500 0.000 0.000
```

***

--- 2 ---
Material: MgNi2HPd
Method: DFT, PBE
State: optimized geometry Values from VASP.

Properties
magnetization: 0.7 Bohr magnetons per cell
symmetry: P4/mmm

The structure in Quantum ESPRESSO input format:
```
&SYSTEM
  ibrav = 0, nat = 5, ntyp = 4
/
ATOMIC_SPECIES
Mg 24.30 Mg.upf
Ni 58.69 Ni.upf
H 1.01 H.upf
Pd 106.42 Pd.upf
CELL_PARAMETERS angstrom
-2.651 0.798 2.496
0.574 -3.288 1.660
2.742 1.678 2.376
ATOMIC_POSITIONS crystal
Mg 0.500 0.500 0.500
Ni 0.000 0.500 0.000
H 0.000 0.000 0.000
Pd 0.000 0.000 0.500
Ni 0.500 0.000 0.000
```

***

Preferred: 2; penalty for the next structure: 0.031 eV/atom.

***

--- 1 ---
Material: Mg2NiHRh
Method: DFT, PBE
State: optimized geometry Values from VASP.

Properties
magnetization: 0.0 Bohr magnetons per cell
symmetry: P4/mmm

The structure in Quantum ESPRESSO input format:
```
&SYSTEM
  ibrav = 0, nat = 5, ntyp = 4
/
ATOMIC_SPECIES
Rh 102.91 Rh.upf
H 1.01 H.upf
Mg 24.30 Mg.upf
Ni 58.69 Ni.upf
CELL_PARAMETERS angstrom
-2.069 -0.300 3.791
-3.363 -1.872 -1.983
1.341 -2.938 0.499
ATOMIC_POSITIONS crystal
Rh 0.500 0.500 0.500
H 0.000 0.000 0.000
Mg 0.000 0.500 0.000
Mg 0.500 0.000 0.000
Ni 0.000 0.000 0.500
```

***

--- 2 ---
Material: Mg2NiHRh
Method: DFT, PBE
State: optimized geometry Values from VASP.

Properties
magnetization: 0.0 Bohr magnetons per cell
symmetry: P4/mmm

The structure in Quantum ESPRESSO input format:
```
&SYSTEM
  ibrav = 0, nat = 5, ntyp = 4
/
ATOMIC_SPECIES
Ni 58.69 Ni.upf
Mg 24.30 Mg.upf
H 1.01 H.upf
Rh 102.91 Rh.upf
CELL_PARAMETERS angstrom
-0.511 -2.340 3.571
3.994 -1.534 -0.434
1.201 2.597 1.874
ATOMIC_POSITIONS crystal
Ni 0.500 0.500 0.500
Mg 0.500 0.000 0.000
H 0.000 0.000 0.000
Rh 0.000 0.000 0.500
Mg 0.000 0.500 0.000
```

***

Preferred: 1; penalty for the next structure: 0.033 eV/atom.

***

--- 1 ---
Material: MgPHO2
Method: DFT, PBE
State: optimized geometry Values from VASP.

Properties
magnetization: 0.0 Bohr magnetons per cell
symmetry: P4/mmm

The structure in Quantum ESPRESSO input format:
```
&SYSTEM
  ibrav = 0, nat = 5, ntyp = 4
/
ATOMIC_SPECIES
H 1.01 H.upf
O 16.00 O.upf
P 30.97 P.upf
Mg 24.30 Mg.upf
CELL_PARAMETERS angstrom
-3.213 0.554 2.387
-2.386 -1.605 -2.839
0.402 -2.639 1.154
ATOMIC_POSITIONS crystal
H 0.000 0.000 0.000
O 0.500 0.000 0.000
O 0.000 0.500 0.000
P 0.000 0.000 0.500
Mg 0.500 0.500 0.500
```

***

--- 2 ---
Material: MgPHO2
Method: DFT, PBE
State: optimized geometry Values from VASP.

Properties
magnetization: 2.6 Bohr magnetons per cell
symmetry: P4/mmm

The structure in Quantum ESPRESSO input format:
```
&SYSTEM
  ibrav = 0, nat = 5, ntyp = 4
/
ATOMIC_SPECIES
Mg 24.30 Mg.upf
H 1.01 H.upf
O 16.00 O.upf
P 30.97 P.upf
CELL_PARAMETERS angstrom
-2.387 -0.722 2.804
2.872 -1.046 2.177
0.551 5.360 1.848
ATOMIC_POSITIONS crystal
Mg 0.000 0.000 0.000
H 0.500 0.500 0.500
O 0.000 0.500 0.000
P 0.000 0.000 0.500
O 0.500 0.000 0.000
```

***

Preferred: 1; penalty for the next structure: 0.619 eV/atom.